1.
Here is a geometry-optimized La2SnPt2 structure from Alexandria. Energies are from GGA-PBEsol.

Values from the calculation:
total DFT energy (no corrections) = -6.57 eV/atom
space-group type = I4/mmm (139)
DFT formation energy = -384 kJ/mol of formula units
Fermi-level density of states = 2.60 states/eV/cell

a b c (Å): 3.8626 3.8626 9.0425
angles (deg): 102.33 102.33 90.00
Fractional coordinates of all 5 atoms:
Sn 0.0000 0.0000 0.0000
Pt 0.2500 0.7500 0.5000
Pt 0.7500 0.2500 0.5000
La 0.3780 0.3780 0.7560
La 0.6220 0.6220 0.2440

=====

2.
Here is a geometry-optimized LaSnPtW2 structure from Alexandria. Energies are from GGA-PBEsol.

Values from the calculation:
total DFT energy (no corrections) = -7.68 eV/atom
space-group type = P4/mmm (123)
DFT formation energy = 558 kJ/mol of formula units
Fermi-level density of states = 5.87 states/eV/cell

a b c (Å): 4.8319 4.8319 5.4116
angles (deg): 90.00 90.00 90.00
Fractional coordinates of all 5 atoms:
Sn 0.5000 0.5000 0.5000
W 0.0000 0.5000 0.0000
W 0.5000 0.0000 0.0000
Pt 0.0000 0.0000 0.0000
La 0.0000 0.0000 0.5000